No. 1
First-principles (PBE) data for a relaxed structure of SrMn, as listed in Alexandria.

The structure in extended XYZ format:
```
4
Lattice="9.046 0.008 0.005 8.225 3.766 0.005 8.225 1.797 3.310" Properties=species:S:1:pos:R:3 pbc="T T T"
Mn 24.434 5.339 3.180
Mn 7.438 1.625 0.968
Sr 13.648 2.982 1.776
Sr 18.223 3.982 2.372
```

Results
Calculated density = 4.21 g/cm³
Symmetry = No. 166
Final energy = -4.9894 eV/atom
Formation enthalpy at 0 K = 0.44 eV per atom

No. 2
First-principles (PBE) data for a relaxed structure of Tb2EuH, as listed in Alexandria.

The structure in extended XYZ format:
```
4
Lattice="-1.463 2.343 2.250 -3.052 1.627 -0.858 -6.454 -5.766 4.627" Properties=species:S:1:pos:R:3 pbc="T T T"
Eu 0.000 0.000 0.000
H -5.484 -0.898 3.010
Tb -4.669 -3.209 3.126
Tb -6.300 1.413 2.894
```

Results
Calculated density = 7.41 g/cm³
Symmetry = No. 166
Final energy = -5.7619 eV/atom

No. 3
First-principles (PBE) data for a relaxed structure of Ac3SnRh3, as listed in Alexandria.

The structure in extended XYZ format:
```
14
Lattice="-1.536 4.933 -2.945 -2.844 -5.039 -6.958 -5.737 2.183 6.650" Properties=species:S:1:pos:R:3 pbc="T T T"
Ac -6.862 1.562 -2.811
Ac -2.492 2.043 -4.285
Ac -5.529 -0.402 -6.795
Ac -3.256 0.514 -0.442
Ac -7.626 0.033 1.032
Ac -4.589 2.478 3.543
Sn -4.193 -1.399 -3.158
Sn -5.925 3.475 -0.095
Rh -5.935 -0.832 -1.299
Rh -1.743 -0.519 -2.963
Rh -4.900 -2.846 -5.213
Rh -4.183 2.908 -1.954
Rh -8.375 2.595 -0.290
Rh -5.217 4.922 1.960
```

Results
Calculated density = 8.73 g/cm³
Symmetry = No. 176
Final energy = -6.0284 eV/atom
Formation enthalpy at 0 K = -0.55 eV per atom

No. 4
First-principles (PBE) data for a relaxed structure of BePtW, as listed in Alexandria.

The structure in extended XYZ format:
```
6
Lattice="2.748 -0.001 0.002 1.375 5.158 0.002 1.375 -1.288 5.590" Properties=species:S:1:pos:R:3 pbc="T T T"
Be 3.819 3.469 1.639
Be 2.448 3.161 5.187
Pt 1.072 0.263 1.283
Pt 2.448 -0.785 3.764
W 2.445 1.877 3.031
W 3.823 1.040 5.499
```

Results
Calculated density = 16.26 g/cm³
Symmetry = No. 8
Final energy = -7.7799 eV/atom
Formation enthalpy at 0 K = -0.21 eV per atom

No. 5
First-principles (PBE) data for a relaxed structure of KInAu2, as listed in Alexandria.

The structure in extended XYZ format:
```
8
Lattice="-4.526 -0.063 1.834 2.062 -5.722 -1.612 2.703 -0.896 6.637" Properties=species:S:1:pos:R:3 pbc="T T T"
K -1.761 -5.218 1.977
K 1.999 -1.463 4.883
In 0.584 -2.832 1.344
In -0.346 -3.849 5.515
Au 2.393 -5.207 5.725
Au -2.155 -1.475 1.134
Au -1.117 -1.819 3.683
Au 1.356 -4.863 3.177
```

Results
Calculated density = 8.89 g/cm³
Symmetry = No. 63
Final energy = -2.8576 eV/atom
Formation enthalpy at 0 K = -0.26 eV per atom

No. 6
First-principles (PBE) data for a relaxed structure of SmAl3NiPt, as listed in Alexandria.

The structure in extended XYZ format:
```
12
Lattice="5.844 0.000 0.000 0.000 6.257 0.000 0.000 -3.129 5.968" Properties=species:S:1:pos:R:3 pbc="T T T"
Sm 4.383 0.000 3.202
Sm 1.461 3.129 2.766
Al 1.461 0.000 1.761
Al 0.000 1.806 0.000
Al 2.922 4.452 0.000
Al 2.922 1.806 0.000
Al 0.000 4.452 0.000
Al 4.383 3.129 4.207
Ni 1.461 3.129 5.381
Ni 4.383 0.000 0.587
Pt 1.461 0.000 4.257
Pt 4.383 3.129 1.711
```

Results
Calculated density = 7.38 g/cm³
Symmetry = No. 63
Final energy = -5.2635 eV/atom
Formation enthalpy at 0 K = -0.64 eV per atom

No. 7
First-principles (PBE) data for a relaxed structure of AcSm15In4, as listed in Alexandria.

The structure in extended XYZ format:
```
20
Lattice="-3.064 -0.790 3.820 1.876 -4.558 0.561 17.470 9.150 15.902" Properties=species:S:1:pos:R:3 pbc="T T T"
Ac 0.000 0.000 0.000
Sm -0.594 -2.674 2.191
Sm 3.054 -0.763 5.512
Sm 6.431 1.005 8.585
Sm 9.851 2.797 11.699
Sm 13.228 4.565 14.772
Sm 0.388 0.610 3.657
Sm 3.796 2.395 6.760
Sm 7.203 4.180 9.861
Sm 10.610 5.964 12.963
Sm 14.018 7.749 16.065
Sm 2.857 -1.273 2.028
Sm 6.266 0.512 5.131
Sm 9.673 2.296 8.232
Sm 13.080 4.081 11.333
Sm 16.488 5.866 14.436
In 3.633 1.903 3.307
In 7.039 3.687 6.408
In 10.430 5.463 9.494
In 13.836 7.247 12.595
```

Results
Calculated density = 7.84 g/cm³
Symmetry = No. 123
Final energy = -4.4878 eV/atom
Formation enthalpy at 0 K = -0.20 eV per atom

No. 8
First-principles (PBE) data for a relaxed structure of CdBrNF2, as listed in Alexandria.

The structure in extended XYZ format:
```
5
Lattice="-4.099 0.085 -0.714 -0.396 -3.717 1.831 -0.875 2.730 5.351" Properties=species:S:1:pos:R:3 pbc="T T T"
N -0.438 1.365 2.675
F -0.198 -1.858 0.916
F -2.050 0.043 -0.357
Br -2.685 -0.451 3.234
Cd 0.000 0.000 0.000
```

Results
Calculated density = 3.86 g/cm³
Formation energy from raw total energies = 0.046 eV per formula unit
Symmetry = No. 123
Final energy = -2.9219 eV/atom

No. 9
First-principles (PBE) data for a relaxed structure of LiErSb2, as listed in Alexandria.

The structure in extended XYZ format:
```
8
Lattice="-0.608 4.209 -0.155 -0.380 0.101 4.237 10.513 1.552 0.906" Properties=species:S:1:pos:R:3 pbc="T T T"
Li -0.494 2.155 2.041
Li 0.000 0.000 0.000
Er 2.639 0.468 2.363
Er 7.380 3.239 0.585
Sb 1.494 2.370 0.078
Sb 8.525 1.337 2.870
Sb 5.257 0.776 0.453
Sb 4.763 2.931 2.494
```

Results
Calculated density = 7.18 g/cm³
Formation energy from raw total energies = -3.017 eV per formula unit
Symmetry = No. 129
Final energy = -4.4346 eV/atom

No. 10
First-principles (PBE) data for a relaxed structure of Pr2Nd2Te7, as listed in Alexandria.

The structure in extended XYZ format:
```
11
Lattice="-5.189 -0.967 -5.953 -4.969 -1.434 4.565 -1.650 7.757 0.641" Properties=species:S:1:pos:R:3 pbc="T T T"
Pr -7.514 4.275 -1.624
Pr -4.295 1.080 0.876
Nd -4.252 1.344 -4.206
Nd -7.557 4.011 3.458
Te -2.107 3.508 1.498
Te -6.282 -1.548 0.411
Te -9.702 1.847 -2.245
Te -5.526 6.903 -1.158
Te 0.000 0.000 0.000
Te -7.160 2.315 0.780
Te -4.649 3.040 -1.527
```

Results
Calculated density = 5.57 g/cm³
Formation energy from raw total energies = -11.836 eV per formula unit
Symmetry = No. 65
Final energy = -4.8111 eV/atom

No. 11
First-principles (PBE) data for a relaxed structure of Ag2RhPb, as listed in Alexandria.

The structure in extended XYZ format:
```
4
Lattice="-2.673 -8.990 -0.354 0.301 -9.363 0.580 -1.946 -8.778 2.692" Properties=species:S:1:pos:R:3 pbc="T T T"
Ag -4.304 -27.040 2.908
Ag -3.214 -20.195 2.172
Rh -1.086 -6.824 0.734
Pb -2.192 -13.769 1.481
```

Results
Calculated density = 11.11 g/cm³
Symmetry = No. 160
Final energy = -3.9464 eV/atom
Formation enthalpy at 0 K = 0.24 eV per atom

No. 12
First-principles (PBE) data for a relaxed structure of AlTlGaGe2, as listed in Alexandria.

The structure in extended XYZ format:
```
5
Lattice="4.899 0.000 0.000 0.000 4.899 0.000 0.000 0.000 5.496" Properties=species:S:1:pos:R:3 pbc="T T T"
Tl 0.000 0.000 2.748
Ge 0.000 2.450 0.000
Ge 2.450 0.000 0.000
Ga 2.450 2.450 2.748
Al 0.000 0.000 0.000
```

Results
Calculated density = 5.62 g/cm³
Symmetry = No. 123
Final energy = -3.1647 eV/atom
Formation enthalpy at 0 K = 0.51 eV per atom